{"formula": "CdAg2Pb", "functional": "meta-GGA SCAN", "state": "PBEsol geometry", "lattice_angstrom": [[-2.193, 2.464, -0.054], [-2.179, -1.892, 2.199], [3.036, 2.820, 5.433]], "species": ["Ag", "Ag", "Cd", "Pb"], "frac_coords": [[0.000, 0.000, 0.783], [0.000, 0.000, 0.217], [0.500, 0.500, 0.000], [0.500, 0.500, 0.500]], "dft_energy_ev_per_cell": -168.7, "spacegroup": "Pmmm, No. 47"}

***

{"formula": "Cd3AgPb", "functional": "meta-GGA SCAN", "state": "PBEsol geometry", "lattice_angstrom": [[5.120, 0.000, 0.000], [0.000, 5.120, 0.000], [0.000, 0.000, 5.120]], "species": ["Cd", "Cd", "Cd", "Ag", "Pb"], "frac_coords": [[0.000, 0.500, 0.000], [0.000, 0.000, 0.500], [0.500, 0.000, 0.000], [0.000, 0.000, 0.000], [0.500, 0.500, 0.500]], "dft_energy_ev_per_cell": -196.9, "spacegroup": "Pm-3m, No. 221"}

***

{"formula": "CdAg2Pb", "functional": "meta-GGA SCAN", "state": "PBEsol geometry", "lattice_angstrom": [[-1.866, 2.074, 1.663], [1.164, -1.324, 2.957], [5.555, 4.968, 0.037]], "species": ["Ag", "Ag", "Cd", "Pb"], "frac_coords": [[0.000, 0.000, 0.036], [0.500, 0.500, 0.240], [0.000, 0.000, 0.454], [0.500, 0.500, 0.770]], "dft_energy_ev_per_cell": -168.7, "spacegroup": "Pmm2, No. 25"}

***

{"formula": "CdAgPb2", "functional": "meta-GGA SCAN", "state": "PBEsol geometry", "lattice_angstrom": [[-2.391, 1.587, 1.815], [-2.829, -3.045, -1.062], [1.744, -3.485, 5.344]], "species": ["Pb", "Pb", "Cd", "Ag"], "frac_coords": [[0.000, 0.000, 0.758], [0.000, 0.000, 0.242], [0.500, 0.500, 0.500], [0.500, 0.500, 0.000]], "dft_energy_ev_per_cell": -212.9, "spacegroup": "Pmmm, No. 47"}

***

{"formula": "CdAgPb2", "functional": "meta-GGA SCAN", "state": "PBEsol geometry", "lattice_angstrom": [[-1.530, -0.061, -2.963], [0.841, -3.207, -0.368], [-7.343, -2.368, 3.840]], "species": ["Ag", "Pb", "Pb", "Cd"], "frac_coords": [[0.000, 0.000, 0.524], [0.000, 0.000, 0.970], [0.500, 0.500, 0.295], [0.500, 0.500, 0.711]], "dft_energy_ev_per_cell": -213.2, "spacegroup": "P4mm, No. 99"}

***

{"formula": "CdAgPb2", "functional": "meta-GGA SCAN", "state": "PBEsol geometry", "lattice_angstrom": [[-2.838, 1.237, 1.193], [-2.357, -2.045, 1.127], [2.370, 0.146, 10.104]], "species": ["Pb", "Pb", "Cd", "Ag"], "frac_coords": [[0.995, 0.995, 0.016], [0.760, 0.760, 0.720], [0.240, 0.240, 0.279], [0.505, 0.505, 0.485]], "dft_energy_ev_per_cell": -213.0, "spacegroup": "R3m, No. 160"}

***

{"formula": "CdAg2Pb", "functional": "meta-GGA SCAN", "state": "PBEsol geometry", "lattice_angstrom": [[3.266, 0.000, -0.126], [0.000, 4.647, 0.000], [-1.511, 0.000, 5.534]], "species": ["Ag", "Ag", "Cd", "Pb"], "frac_coords": [[0.952, 0.500, 0.279], [0.807, 0.000, 0.987], [0.535, 0.000, 0.432], [0.206, 0.500, 0.801]], "dft_energy_ev_per_cell": -168.6, "spacegroup": "Pm, No. 6"}

***

{"formula": "CdAgPb2", "functional": "meta-GGA SCAN", "state": "PBEsol geometry", "lattice_angstrom": [[-1.918, -2.025, 1.672], [0.103, -3.568, -4.202], [5.260, -0.171, 2.663]], "species": ["Cd", "Pb", "Pb", "Ag"], "frac_coords": [[0.223, 0.763, 0.446], [0.986, 0.964, 0.973], [0.772, 0.298, 0.545], [0.518, 0.475, 0.036]], "dft_energy_ev_per_cell": -213.0, "spacegroup": "Cm, No. 8"}

***

{"formula": "CdAgPb2", "functional": "meta-GGA SCAN", "state": "PBEsol geometry", "lattice_angstrom": [[-3.619, -0.439, -0.375], [0.434, -4.488, 1.069], [1.152, 1.481, 5.748]], "species": ["Pb", "Pb", "Ag", "Cd"], "frac_coords": [[0.715, 0.500, 0.312], [0.037, 0.000, 0.946], [0.299, 0.000, 0.474], [0.448, 0.500, 0.768]], "dft_energy_ev_per_cell": -213.1, "spacegroup": "Pm, No. 6"}

***

{"formula": "Cd2Ag2Pb", "functional": "meta-GGA SCAN", "state": "PBEsol geometry", "lattice_angstrom": [[-1.845, -0.946, -2.368], [4.207, -7.299, -0.360], [-5.384, -3.377, 5.543]], "species": ["Cd", "Cd", "Cd", "Cd", "Ag", "Ag", "Ag", "Ag", "Pb", "Pb"], "frac_coords": [[0.000, 0.374, 0.874], [0.000, 0.874, 0.626], [0.000, 0.626, 0.126], [0.000, 0.126, 0.374], [0.500, 0.671, 0.829], [0.500, 0.171, 0.671], [0.500, 0.329, 0.171], [0.500, 0.829, 0.329], [0.000, 0.000, 0.000], [0.000, 0.500, 0.500]], "dft_energy_ev_per_cell": -398.3, "spacegroup": "P4/mbm, No. 127"}

***

{"formula": "CdAg2PdRu", "functional": "meta-GGA SCAN", "state": "PBEsol geometry", "lattice_angstrom": [[4.823, 0.000, 0.000], [0.000, 4.856, 0.000], [0.000, 0.000, 4.856]], "species": ["Cd", "Ag", "Ag", "Pd", "Ru"], "frac_coords": [[0.000, 0.000, 0.000], [0.000, 0.500, 0.000], [0.000, 0.000, 0.500], [0.500, 0.000, 0.000], [0.500, 0.500, 0.500]], "dft_energy_ev_per_cell": -153.5, "spacegroup": "P4/mmm, No. 123"}

***

{"formula": "CdAgPt2", "functional": "meta-GGA SCAN", "state": "PBEsol geometry", "lattice_angstrom": [[2.811, 0.000, 0.000], [0.000, 4.020, 0.000], [0.000, 0.000, 5.706]], "species": ["Cd", "Pt", "Pt", "Ag"], "frac_coords": [[0.500, 0.500, 0.754], [0.500, 0.500, 0.249], [0.000, 0.000, 0.004], [0.000, 0.000, 0.493]], "dft_energy_ev_per_cell": -202.6, "spacegroup": "Pmm2, No. 25"}